No. 1
PmHoCBr | GGA-PBE | optimized geometry

The structure in POSCAR format:
```
PmHoCBr
1.0
1.8567 1.0720 7.2579
-1.8567 1.0720 7.2579
0.0000 -2.1439 7.2579
Pm Ho C Br
1 1 1 1
Direct
0.0000 0.0000 0.0000
0.7873 0.7873 0.7873
0.3993 0.3993 0.3993
0.2225 0.2225 0.2225
```

Results
For the total magnetic moment, the calculation gives 0.0 μB/f.u. As for the energy relative to the elements, uncorrected: -0.93 eV per atom. Its space group is R3m. As for the final energy: -5.986 eV/atom. Its crystal system is trigonal.



No. 2
Sr2CaSn2 | GGA-PBE | optimized geometry

The structure in POSCAR format:
```
Sr2CaSn2
1.0
9.6980 0.0000 0.0000
0.0000 9.6980 0.0000
0.0000 0.0000 3.6814
Sr Ca Sn
4 2 4
Direct
0.1246 0.3754 0.0000
0.3754 0.8754 0.0000
0.6246 0.1246 0.0000
0.8754 0.6246 0.0000
0.0000 0.0000 0.0000
0.5000 0.5000 0.0000
0.1761 0.6761 0.5000
0.3239 0.1761 0.5000
0.6761 0.8239 0.5000
0.8239 0.3239 0.5000
```

Results
For the total magnetic moment, the calculation gives 0.0 μB/f.u. Its space group is P4/mbm. Its formation energy is -0.43 eV/atom. As for the final energy: -3.101 eV/atom. Its crystal system is tetragonal. The value obtained for the energy above the lowest structure with this stoichiometry is 0.92 eV/f.u.



No. 3
AcAlS2 | GGA-PBE | optimized geometry

The structure in POSCAR format:
```
AcAlS2
1.0
1.8528 1.0697 8.4514
-1.8528 1.0697 8.4514
0.0000 -2.1394 8.4514
Ac Al S
1 1 2
Direct
0.0000 0.0000 0.0000
0.5000 0.5000 0.5000
0.1163 0.1163 0.1163
0.8837 0.8837 0.8837
```

Results
For the total magnetic moment, the calculation gives 0.0 μB/f.u. As for the energy relative to the elements, uncorrected: -0.90 eV per atom. Its space group is R-3m. As for the final energy: -4.929 eV/atom. Its crystal system is trigonal.



No. 4
PmNd3Dy2Y6 | GGA-PBE | optimized geometry

The structure in POSCAR format:
```
PmNd3Dy2Y6
1.0
3.1226 -5.4057 0.0000
3.1226 5.4057 0.0000
-2.0720 0.0000 11.6969
Pm Nd Dy Y
1 3 2 6
Direct
0.0000 0.0000 0.0000
0.1669 0.8331 0.5000
0.5000 0.5000 0.5000
0.8331 0.1669 0.5000
0.3333 0.6667 0.0000
0.6667 0.3333 0.0000
0.0827 0.4164 0.2476
0.2511 0.2511 0.7522
0.4164 0.0827 0.2476
0.5836 0.9173 0.7524
0.7489 0.7489 0.2478
0.9173 0.5836 0.7524
```

Results
For the total magnetic moment, the calculation gives 0.0 μB/f.u. Its space group is C2/m. Its formation energy is 0.01 eV/atom. As for the final energy: -5.572 eV/atom. Its crystal system is monoclinic.



No. 5
Ni2H2Ir | GGA-PBE | optimized geometry

The structure in POSCAR format:
```
Ni2H2Ir
1.0
-1.3577 1.3577 5.6820
1.3577 -1.3577 5.6820
1.3577 1.3577 -5.6820
Ni H Ir
2 2 1
Direct
0.1594 0.1594 0.0000
0.8406 0.8406 0.0000
0.2500 0.7500 0.5000
0.7500 0.2500 0.5000
0.5000 0.5000 0.0000
```

Results
For the total magnetic moment, the calculation gives 0.0 μB/f.u. Its space group is I4/mmm. As for the final energy: -5.369 eV/atom. Its crystal system is tetragonal. The value obtained for the energy above the lowest structure with this stoichiometry is 0.00 eV/f.u.



No. 6
TbZnSi2 | GGA-PBE | optimized geometry

The structure in POSCAR format:
```
TbZnSi2
1.0
2.6791 -4.4339 0.0000
2.6791 4.4339 0.0000
0.0000 0.0000 3.1065
Tb Zn Si
1 1 2
Direct
0.0000 0.0000 0.0000
0.5000 0.5000 0.5000
0.0000 0.5000 0.5000
0.5000 0.0000 0.5000
```

Results
For the total magnetic moment, the calculation gives 0.0 μB/f.u. As for the energy relative to the elements, uncorrected: -0.22 eV per atom. Its space group is Cmmm. As for the final energy: -4.407 eV/atom. Its crystal system is orthorhombic. The value obtained for the energy above the lowest structure with this stoichiometry is 0.75 eV/f.u.